Material: HoAl2Au9
Method: DFT, PBE
State: relaxed

a b c (Å): 6.8318 8.8455 8.8455
angles (deg): 81.42 67.28 67.28
Element x y z (fractional)
Au (0.6066, 0.3020, 0.0565)
Au (0.0914, 0.9435, 0.3020)
Au (0.6066, 0.0565, 0.3020)
Au (0.0000, 0.0000, 0.0000)
Au (0.7500, 0.5000, 0.5000)
Au (0.0914, 0.3020, 0.9435)
Au (0.4132, 0.8020, 0.4435)
Au (0.6586, 0.1980, 0.5565)
Au (0.9652, 0.9435, 0.6980)
Au (0.1434, 0.4435, 0.1980)
Au (0.3368, 0.0565, 0.6980)
Au (0.4132, 0.4435, 0.8020)
Au (0.3368, 0.6980, 0.0565)
Au (0.7848, 0.5565, 0.8020)
Au (0.1434, 0.1980, 0.4435)
Au (0.6586, 0.5565, 0.1980)
Au (0.7848, 0.8020, 0.5565)
Au (0.9652, 0.6980, 0.9435)
Al (0.3750, 0.7500, 0.7500)
Al (0.8750, 0.7500, 0.2500)
Al (0.8750, 0.2500, 0.7500)
Al (0.8750, 0.2500, 0.2500)
Ho (0.2500, 0.5000, 0.5000)
Ho (0.5000, 0.0000, 0.0000)

crystal system	tetragonal
uncorrected energy	-91.2	eV for the cell shown
formation energy from the elements	-390	kJ/mol of formula units
V	18.95	Å³/atom
D(E_F)	0.41	states/eV/atom
total magnetic moment	0.00	μB/f.u.